[1]
A relaxed BaMoBr2 crystal, computed with GGA-PBEsol.

```
BaMoBr2
1.0
4.1175 0.0000 0.0000
0.0000 5.1301 0.0000
0.0000 0.0000 5.1302
Ba Br Mo
1 2 1
direct
0.5000 0.0000 0.5000 Ba
0.0000 0.5000 0.5000 Br
0.0000 0.0000 0.0000 Br
0.5000 0.5000 0.0000 Mo
```

Calculated values
- formation energy from raw total energies (eV per atom) = -0.07
- total DFT energy (no corrections) (eV/atom) = -4.481
- volume (Å³ per cell) = 108.37
- energy relative to the lowest polymorph listed for this composition (meV per atom) = 0
- space-group type = No. 123

=====

[2]
A relaxed BaMo2Br crystal, computed with GGA-PBEsol.

```
BaMo2Br
1.0
-0.7393 1.5434 -2.7800
-3.6365 -3.9916 -1.2491
-1.8706 4.2333 4.7645
Ba Mo Br
1 2 1
direct
0.0000 0.5000 0.0000 Ba
0.7821 0.6676 0.5643 Mo
0.2179 0.3324 0.4357 Mo
0.5000 0.0000 0.0000 Br
```

Calculated values
- formation energy from raw total energies (eV per atom) = 0.52
- total DFT energy (no corrections) (eV/atom) = -6.367
- volume (Å³ per cell) = 104.05
- energy relative to the lowest polymorph listed for this composition (meV per atom) = 355
- space-group type = No. 12

=====

[3]
A relaxed BaMo2Br crystal, computed with GGA-PBEsol.

```
BaMo2Br
1.0
-2.4178 2.2060 -0.2251
-1.9093 -1.8810 2.0733
3.8795 4.8327 5.6911
Br Mo Ba
1 2 1
direct
0.5000 0.0642 0.7780 Br
0.0000 0.1941 0.0480 Mo
0.5000 0.7970 0.1829 Mo
0.0000 0.4446 0.4911 Ba
```

Calculated values
- formation energy from raw total energies (eV per atom) = 0.17
- total DFT energy (no corrections) (eV/atom) = -6.722
- volume (Å³ per cell) = 92.25
- energy relative to the lowest polymorph listed for this composition (meV per atom) = 0
- space-group type = No. 6

=====

[4]
A relaxed BaMo2Br crystal, computed with GGA-PBEsol.

```
BaMo2Br
1.0
-0.4157 -2.8499 1.6261
2.7166 -1.2182 -1.4406
4.6469 2.9154 6.2974
Br Ba Mo
1 1 2
direct
0.5000 0.5000 0.7758 Br
0.0000 0.0000 0.4933 Ba
0.0000 0.0000 0.0485 Mo
0.5000 0.5000 0.1824 Mo
```

Calculated values
- formation energy from raw total energies (eV per atom) = 0.26
- total DFT energy (no corrections) (eV/atom) = -6.627
- volume (Å³ per cell) = 91.36
- energy relative to the lowest polymorph listed for this composition (meV per atom) = 95
- space-group type = No. 99

=====

[5]
A relaxed BaMoBr2 crystal, computed with GGA-PBEsol.

```
BaMoBr2
1.0
-2.2903 0.7639 -3.1372
2.0716 -2.6026 -2.1461
-4.7321 -5.5090 2.1132
Mo Br Ba
1 2 1
direct
0.5000 0.5000 0.0000 Mo
0.0000 0.0000 0.7381 Br
0.0000 0.0000 0.2619 Br
0.5000 0.5000 0.5000 Ba
```

Calculated values
- formation energy from raw total energies (eV per atom) = 0.03
- total DFT energy (no corrections) (eV/atom) = -4.382
- volume (Å³ per cell) = 118.53
- energy relative to the lowest polymorph listed for this composition (meV per atom) = 100
- space-group type = No. 123

=====

[6]
A relaxed BaMo2Br crystal, computed with GGA-PBEsol.

```
BaMo2Br
1.0
-3.1766 0.7359 -0.7164
-1.2124 -2.7621 -5.2404
-2.9886 -5.2559 0.0737
Br Mo Ba
1 2 1
direct
0.2928 0.2072 0.2072 Br
0.6846 0.8154 0.8154 Mo
0.0221 0.9779 0.9779 Mo
0.5005 0.4995 0.4995 Ba
```

Calculated values
- formation energy from raw total energies (eV per atom) = 0.61
- total DFT energy (no corrections) (eV/atom) = -6.280
- volume (Å³ per cell) = 101.08
- energy relative to the lowest polymorph listed for this composition (meV per atom) = 442
- space-group type = No. 44

=====

[7]
A relaxed Ba2MoBr crystal, computed with GGA-PBEsol.

```
Ba2MoBr
1.0
-0.3509 -3.5297 1.2918
4.8341 0.3937 2.3891
-2.8081 2.2246 5.3154
Ba Br Mo
2 1 1
direct
0.0000 0.0000 0.5000 Ba
0.5000 0.5000 0.0000 Ba
0.0000 0.0000 0.0000 Br
0.5000 0.5000 0.5000 Mo
```

Calculated values
- formation energy from raw total energies (eV per atom) = 0.17
- total DFT energy (no corrections) (eV/atom) = -4.318
- volume (Å³ per cell) = 130.83
- space-group type = No. 47

=====

[8]
A relaxed BaMo2Br crystal, computed with GGA-PBEsol.

```
BaMo2Br
1.0
3.3358 0.0150 0.0000
-0.1094 5.1773 0.0000
0.0000 0.0000 6.3412
Mo Ba Br
2 1 1
direct
0.2682 0.1575 0.0000 Mo
0.7318 0.8425 0.0000 Mo
0.0000 0.0000 0.5000 Ba
0.5000 0.5000 0.5000 Br
```

Calculated values
- formation energy from raw total energies (eV per atom) = 0.58
- total DFT energy (no corrections) (eV/atom) = -6.313
- volume (Å³ per cell) = 109.53
- energy relative to the lowest polymorph listed for this composition (meV per atom) = 409
- space-group type = No. 10

=====

[9]
A relaxed BaMo2Br crystal, computed with GGA-PBEsol.

```
BaMo2Br
1.0
-2.3019 -1.6726 0.8863
3.4530 -3.0132 3.2815
-2.6010 4.8003 2.3038
Br Ba Mo
1 1 2
direct
0.5000 0.5000 0.0000 Br
0.5000 0.0000 0.0000 Ba
0.0000 0.5000 0.5000 Mo
0.0000 0.0000 0.5000 Mo
```

Calculated values
- formation energy from raw total energies (eV per atom) = 1.34
- total DFT energy (no corrections) (eV/atom) = -5.550
- volume (Å³ per cell) = 87.57
- energy relative to the lowest polymorph listed for this composition (meV per atom) = 1172
- space-group type = No. 65

=====

[10]
A relaxed BaMoBr2 crystal, computed with GGA-PBEsol.

```
BaMoBr2
1.0
4.4479 0.0000 0.0000
0.0000 4.4479 0.0000
-2.2239 -2.2239 5.8827
Mo Br Ba
1 2 1
direct
0.5000 0.5000 0.0000 Mo
0.0000 0.0000 0.0000 Br
0.7500 0.2500 0.5000 Br
0.2500 0.7500 0.5000 Ba
```

Calculated values
- formation energy from raw total energies (eV per atom) = -0.01
- total DFT energy (no corrections) (eV/atom) = -4.424
- volume (Å³ per cell) = 116.38
- energy relative to the lowest polymorph listed for this composition (meV per atom) = 57
- space-group type = No. 119

=====

[11]
A relaxed BaMo3Br crystal, computed with GGA-PBEsol.

```
BaMo3Br
1.0
-4.6483 -0.6269 -1.7109
-1.0613 -2.8791 3.9384
-1.4812 4.0304 2.5473
Br Ba Mo
1 1 3
direct
0.5000 0.5000 0.5000 Br
0.0000 0.0000 0.0000 Ba
0.0000 0.5000 0.0000 Mo
0.0000 0.0000 0.5000 Mo
0.5000 0.0000 0.0000 Mo
```

Calculated values
- formation energy from raw total energies (eV per atom) = 3.31
- total DFT energy (no corrections) (eV/atom) = -4.553
- volume (Å³ per cell) = 124.45
- space-group type = No. 221

=====

[12]
A relaxed Ba2BrN crystal, computed with GGA-PBEsol.

```
Ba2BrN
1.0
-0.6961 -6.8548 -1.0431
6.4071 1.9377 1.9381
-3.7635 2.4548 5.3264
Ba Br N
4 2 2
direct
0.0779 0.2029 0.6250 Ba
0.9221 0.5471 0.1250 Ba
0.4221 0.8750 0.7971 Ba
0.5779 0.3750 0.4529 Ba
0.0000 0.0000 0.0000 Br
0.5000 0.7500 0.2500 Br
0.5000 0.2500 0.7500 N
0.0000 0.5000 0.5000 N
```

Calculated values
- formation energy from raw total energies (eV per atom) = -1.13
- total DFT energy (no corrections) (eV/atom) = -4.807
- volume (Å³ per cell) = 256.05
- space-group type = No. 122